# 1
Here is a relaxed TePI2O crystal from the Alexandria database. Energies are from PBE-GGA.

a b c (Å): 5.1931 5.1931 4.5293
angles (deg): 90.00 90.00 90.00
Atoms (fractional coordinates):
I  0.0000  0.5000  0.0000
I  0.5000  0.0000  0.0000
Te  0.0000  0.0000  0.5000
P  0.5000  0.5000  0.5000
O  0.0000  0.0000  0.0000

For the formation energy from raw total energies, the calculation gives 0.79 eV/atom. The crystal system is tetragonal. Its offset from the most stable computed form is 746 meV/atom. The space group is P4/mmm.



# 2
Here is a relaxed HoGa2Au3 crystal from the Alexandria database. Energies are from PBE-GGA.

a b c (Å): 4.4825 9.2132 6.7329
angles (deg): 119.60 90.00 104.08
Atoms (fractional coordinates):
Ga  0.7728  0.5457  0.2166
Ga  0.4901  0.9802  0.7903
Ga  0.2272  0.4543  0.7834
Ga  0.5099  0.0198  0.2097
Au  0.9360  0.8721  0.5710
Au  0.6895  0.3789  0.4401
Au  0.0640  0.1279  0.4290
Au  0.6392  0.2784  0.7865
Au  0.3608  0.7216  0.2135
Au  0.3105  0.6211  0.5599
Ho  0.8782  0.7564  0.9310
Ho  0.1218  0.2436  0.0690

The crystal system is monoclinic. Its offset from the most stable computed form is 0 meV/atom. The value obtained for the formation energy is -533 meV per atom. The space group is C2/m.



# 3
Here is a relaxed Fe2NiPb crystal from the Alexandria database. Energies are from PBE-GGA.

a b c (Å): 3.1507 3.1518 6.8575
angles (deg): 62.64 90.00 90.00
Atoms (fractional coordinates):
Fe  0.0000  0.9495  0.0506
Fe  0.5000  0.2530  0.2469
Pb  0.5000  0.7559  0.7441
Ni  0.0000  0.5417  0.4583

The crystal system is tetragonal. The value obtained for the formation energy is 340 meV per atom. The space group is P4mm.



# 4
Here is a relaxed ZrGa3W crystal from the Alexandria database. Energies are from PBE-GGA.

a b c (Å): 5.0166 5.0166 5.0166
angles (deg): 90.00 90.00 90.00
Atoms (fractional coordinates):
W  0.5000  0.5000  0.5000
Ga  0.5000  0.0000  0.0000
Ga  0.0000  0.0000  0.5000
Ga  0.0000  0.5000  0.0000
Zr  0.0000  0.0000  0.0000

The crystal system is cubic. Its offset from the most stable computed form is 958 meV/atom. The value obtained for the formation energy is 1516 meV per atom. The space group is Pm-3m.



# 5
Here is a relaxed Zr2ScAl3 crystal from the Alexandria database. Energies are from PBE-GGA.

a b c (Å): 4.3155 7.9902 7.9902
angles (deg): 108.30 105.67 105.67
Atoms (fractional coordinates):
Sc  0.7500  0.5827  0.4173
Sc  0.2500  0.4173  0.5827
Al  0.9989  0.3333  0.1645
Al  0.5000  0.5000  0.0000
Al  0.0011  0.6667  0.8355
Al  0.5011  0.8355  0.6667
Al  0.4989  0.1645  0.3333
Al  0.0000  0.0000  0.5000
Zr  0.7500  0.9177  0.0823
Zr  0.2500  0.0823  0.9177
Zr  0.7500  0.2499  0.7501
Zr  0.2500  0.7501  0.2499

The crystal system is orthorhombic. Its offset from the most stable computed form is 0 meV/atom. The value obtained for the formation energy is -438 meV per atom. The space group is Imma.



# 6
Here is a relaxed LiNdThPd crystal from the Alexandria database. Energies are from PBE-GGA.

a b c (Å): 5.1745 5.1745 5.1745
angles (deg): 60.00 60.00 60.00
Atoms (fractional coordinates):
Pd  0.0000  0.0000  0.0000
Nd  0.2500  0.2500  0.2500
Li  0.5000  0.5000  0.5000
Th  0.7500  0.7500  0.7500

The crystal system is cubic. The value obtained for the formation energy is -195 meV per atom. The space group is F-43m.



Copy entry 6 word for word.
Here is a relaxed LiNdThPd crystal from the Alexandria database. Energies are from PBE-GGA.

a b c (Å): 5.1745 5.1745 5.1745
angles (deg): 60.00 60.00 60.00
Atoms (fractional coordinates):
Pd  0.0000  0.0000  0.0000
Nd  0.2500  0.2500  0.2500
Li  0.5000  0.5000  0.5000
Th  0.7500  0.7500  0.7500

The crystal system is cubic. The value obtained for the formation energy is -195 meV per atom. The space group is F-43m.



Please write out number 4 again, unchanged.
Here is a relaxed ZrGa3W crystal from the Alexandria database. Energies are from PBE-GGA.

a b c (Å): 5.0166 5.0166 5.0166
angles (deg): 90.00 90.00 90.00
Atoms (fractional coordinates):
W  0.5000  0.5000  0.5000
Ga  0.5000  0.0000  0.0000
Ga  0.0000  0.0000  0.5000
Ga  0.0000  0.5000  0.0000
Zr  0.0000  0.0000  0.0000

The crystal system is cubic. Its offset from the most stable computed form is 958 meV/atom. The value obtained for the formation energy is 1516 meV per atom. The space group is Pm-3m.